The following is a PBE calculation of SmUPd6 after structural relaxation, from Alexandria.

a = 4.1539 Å, b = 4.1539 Å, c = 8.3072 Å
α = 90.00°, β = 90.00°, γ = 90.00°
Space group P4/mmm (No. 123)
Unique sites:
Sm (0.0000, 0.0000, 0.0000)
U (0.0000, 0.0000, 0.5000)
Pd (0.0000, 0.5000, 0.2572)
Pd (0.5000, 0.5000, 0.0000)
Pd (0.5000, 0.5000, 0.5000)

* calculated formation energy: -0.6998 eV/atom
* calculated total energy: -52.762 eV per cell